[1]
# MgAlZnRh

A relaxed MgAlZnRh crystal (PBE, the Alexandria database).

Cell and atoms, written as POSCAR:
```
MgAlZnRh
1.0
2.0796 1.2007 4.6097
-2.0796 1.2007 4.6097
0.0000 -2.4013 4.6097
Mg Al Zn Rh
1 1 1 1
direct
0.0000 0.0000 0.0000 Mg
0.1877 0.1877 0.1877 Al
0.5771 0.5771 0.5771 Zn
0.7994 0.7994 0.7994 Rh
```

Summary:
Its space group is R3m. For the total magnetization, the calculation gives 0.00 μB per formula unit. The electronic total energy comes out at -15.0 eV per cell. The calculation puts the formation energy at -264.9 meV per atom.

---

[2]
# PaIn3Sn2

A relaxed PaIn3Sn2 crystal (PBE, the Alexandria database).

Cell and atoms, written as POSCAR:
```
PaIn3Sn2
1.0
2.3102 -7.5482 0.0000
2.3102 7.5482 0.0000
0.0000 0.0000 4.4930
Pa In Sn
1 3 2
direct
0.0000 0.0000 0.0000 Pa
0.1707 0.8293 0.5000 In
0.5000 0.5000 0.5000 In
0.8293 0.1707 0.5000 In
0.3487 0.6513 0.0000 Sn
0.6513 0.3487 0.0000 Sn
```

Summary:
Its space group is Cmmm. For the total magnetization, the calculation gives 0.57 μB per formula unit. The electronic total energy comes out at -25.8 eV per cell. The calculation puts the formation energy at -7.0 meV per atom.

---

[3]
# YSb2Au

A relaxed YSb2Au crystal (PBE, the Alexandria database).

Cell and atoms, written as POSCAR:
```
YSb2Au
1.0
4.0515 0.0000 0.0000
0.0000 4.0515 0.0000
0.0000 0.0000 6.1350
Y Sb Au
1 2 1
direct
0.0000 0.0000 0.0000 Y
0.5000 0.5000 0.2513 Sb
0.5000 0.5000 0.7487 Sb
0.0000 0.0000 0.5000 Au
```

Summary:
Its space group is P4/mmm. For the total magnetization, the calculation gives 0.00 μB per formula unit. Its uncorrected formation energy is -0.4198 eV per atom. The electronic total energy comes out at -19.7 eV per cell.

---

[4]
# YTeP

A relaxed YTeP crystal (PBE, the Alexandria database).

Cell and atoms, written as POSCAR:
```
YTeP
1.0
4.0921 0.0000 0.0000
0.0000 3.9540 0.0000
-0.4703 0.0000 9.0602
Y Te P
2 2 2
direct
0.2238 0.2500 0.2419 Y
0.7762 0.7500 0.7581 Y
0.2576 0.2500 0.6275 Te
0.7424 0.7500 0.3725 Te
0.3364 0.7500 0.9899 P
0.6636 0.2500 0.0101 P
```

Summary:
Its space group is P2_1/m. For the total magnetization, the calculation gives 0.00 μB per formula unit. Its uncorrected formation energy is -1.0979 eV per atom. The electronic total energy comes out at -36.6 eV per cell.

---

[5]
# KTcW2

A relaxed KTcW2 crystal (PBE, the Alexandria database).

Cell and atoms, written as POSCAR:
```
KTcW2
1.0
4.5317 -1.3717 0.0000
4.5317 1.3717 0.0000
-0.1759 0.0000 7.4188
K Tc W
1 1 2
direct
0.0000 0.0000 0.0000 K
0.2406 0.2406 0.6523 Tc
0.4982 0.4982 0.5157 W
0.7604 0.7604 0.3530 W
```

Summary:
Its space group is Cm. For the total magnetization, the calculation gives 0.00 μB per formula unit. The electronic total energy comes out at -32.7 eV per cell. The calculation puts the formation energy at 1165.3 meV per atom. For the excess energy over the best structure of this formula in the dataset, the calculation gives 407.7 meV/atom.

---

[6]
# KY3V

A relaxed KY3V crystal (PBE, the Alexandria database).

Cell and atoms, written as POSCAR:
```
KY3V
1.0
5.5947 0.0000 0.0000
0.0000 5.5947 0.0000
0.0000 0.0000 5.5947
K Y V
1 3 1
direct
0.0000 0.0000 0.0000 K
0.0000 0.5000 0.5000 Y
0.5000 0.0000 0.5000 Y
0.5000 0.5000 0.0000 Y
0.5000 0.5000 0.5000 V
```

Summary:
Its space group is Pm-3m. For the total magnetization, the calculation gives 1.68 μB per formula unit. The electronic total energy comes out at -26.9 eV per cell. The calculation puts the formation energy at 548.8 meV per atom. For the excess energy over the best structure of this formula in the dataset, the calculation gives 0.0 meV/atom.

---

[7]
# RbScSe3

A relaxed RbScSe3 crystal (PBE, the Alexandria database).

Cell and atoms, written as POSCAR:
```
RbScSe3
1.0
5.5267 0.0000 0.0000
0.0000 5.5267 0.0000
0.0000 0.0000 5.5267
Rb Sc Se
1 1 3
direct
0.0000 0.0000 0.0000 Rb
0.5000 0.5000 0.5000 Sc
0.0000 0.0000 0.5000 Se
0.0000 0.5000 0.0000 Se
0.5000 0.0000 0.0000 Se
```

Summary:
Its space group is Pm-3m. For the total magnetization, the calculation gives 0.00 μB per formula unit. Its uncorrected formation energy is 0.7298 eV per atom. The electronic total energy comes out at -14.1 eV per cell. For the excess energy over the best structure of this formula in the dataset, the calculation gives 1754.6 meV/atom.

---

[8]
# NdSm3Si4

A relaxed NdSm3Si4 crystal (PBE, the Alexandria database).

Cell and atoms, written as POSCAR:
```
NdSm3Si4
1.0
-2.0239 3.2101 8.0116
2.0239 -3.2101 8.0116
2.0239 3.2101 -8.0116
Nd Sm Si
1 3 4
direct
0.0000 0.0000 0.0000 Nd
0.1945 0.6945 0.5000 Sm
0.5000 0.5000 0.0000 Sm
0.8055 0.3055 0.5000 Sm
0.1861 0.8678 0.3183 Si
0.4505 0.1322 0.3183 Si
0.5495 0.8678 0.6817 Si
0.8139 0.1322 0.6817 Si
```

Summary:
Its space group is Immm. For the total magnetization, the calculation gives 0.00 μB per formula unit. Its uncorrected formation energy is -0.5216 eV per atom. The electronic total energy comes out at -44.8 eV per cell.

---

[9]
# HfMn2Pb

A relaxed HfMn2Pb crystal (PBE, the Alexandria database).

Cell and atoms, written as POSCAR:
```
HfMn2Pb
1.0
-3.7532 3.7532 2.8812
3.7532 -3.7532 2.8812
3.7532 3.7532 -2.8812
Hf Mn Pb
2 4 2
direct
0.0000 0.0000 0.0000 Hf
0.7500 0.2500 0.5000 Hf
0.1213 0.6250 0.9963 Mn
0.3750 0.3713 0.4963 Mn
0.6287 0.1250 0.0037 Mn
0.8750 0.8787 0.5037 Mn
0.2500 0.7500 0.5000 Pb
0.5000 0.5000 0.0000 Pb
```

Summary:
Its space group is I-42d. For the total magnetization, the calculation gives 6.24 μB per formula unit. The electronic total energy comes out at -58.7 eV per cell. The calculation puts the formation energy at 660.1 meV per atom.

---

[10]
# NdPuRh

A relaxed NdPuRh crystal (PBE, the Alexandria database).

Cell and atoms, written as POSCAR:
```
NdPuRh
1.0
0.0000 3.4476 3.4476
3.4476 0.0000 3.4476
3.4476 3.4476 0.0000
Nd Pu Rh
1 1 1
direct
0.0000 0.0000 0.0000 Nd
0.5000 0.5000 0.5000 Pu
0.2500 0.2500 0.2500 Rh
```

Summary:
Its space group is F-43m. For the total magnetization, the calculation gives 5.78 μB per formula unit. The electronic total energy comes out at -27.2 eV per cell. The calculation puts the formation energy at -258.8 meV per atom. For the excess energy over the best structure of this formula in the dataset, the calculation gives 164.4 meV/atom.

---

[11]
# SmHfCu

A relaxed SmHfCu crystal (PBE, the Alexandria database).

Cell and atoms, written as POSCAR:
```
SmHfCu
1.0
4.4742 0.0000 0.0000
0.0000 4.4742 0.0000
0.0000 0.0000 6.8723
Sm Hf Cu
2 2 2
direct
0.2500 0.2500 0.1274 Sm
0.7500 0.7500 0.8726 Sm
0.2500 0.7500 0.5000 Hf
0.7500 0.2500 0.5000 Hf
0.2500 0.2500 0.7226 Cu
0.7500 0.7500 0.2774 Cu
```

Summary:
Its space group is P4/nmm. For the total magnetization, the calculation gives 0.00 μB per formula unit. The electronic total energy comes out at -38.0 eV per cell. The calculation puts the formation energy at -75.5 meV per atom. For the excess energy over the best structure of this formula in the dataset, the calculation gives 0.0 meV/atom.